1.
Below is a geometry-optimized YTa2Au structure, with properties calculated at the PBE level.

Geometry as CIF:
```
data_YTa2Au
_chemical_formula_sum 'Y1 Ta2 Au1'
_space_group_name_H-M_alt 'P 4/m m m'
_space_group_IT_number 123
_space_group_name_Hall '-P 4 2'
_cell_length_a 2.982
_cell_length_b 2.982
_cell_length_c 9.134
_cell_angle_alpha 90.00
_cell_angle_beta 90.00
_cell_angle_gamma 90.00
loop_
_atom_site_label
_atom_site_type_symbol
_atom_site_fract_x
_atom_site_fract_y
_atom_site_fract_z
Y1 Y 0.000 0.000 0.000
Ta1 Ta 0.500 0.500 0.276
Au1 Au 0.000 0.000 0.500
```

Results
DFT formation energy = 23.4 kJ/mol of atoms

2.
Below is a geometry-optimized HoAgPd structure, with properties calculated at the PBE level.

Geometry as CIF:
```
data_HoAgPd
_chemical_formula_sum 'Ho2 Ag2 Pd2'
_space_group_name_H-M_alt 'P 63/m m c'
_space_group_IT_number 194
_space_group_name_Hall '-P 6c 2c'
_cell_length_a 4.9794
_cell_length_b 4.9794
_cell_length_c 5.6934
_cell_angle_alpha 90.00
_cell_angle_beta 90.00
_cell_angle_gamma 120.00
loop_
_atom_site_label
_atom_site_type_symbol
_atom_site_fract_x
_atom_site_fract_y
_atom_site_fract_z
Ho1 Ho 0.3333 0.6667 0.2500
Ag1 Ag 0.0000 0.0000 0.0000
Pd1 Pd 0.3333 0.6667 0.7500
```

Results
DFT formation energy = -60.0 kJ/mol of atoms

3.
Below is a geometry-optimized CuIr2Os structure, with properties calculated at the PBE level.

Geometry as CIF:
```
data_CuIr2Os
_chemical_formula_sum 'Cu2 Ir4 Os2'
_space_group_name_H-M_alt 'C m m m'
_space_group_IT_number 65
_space_group_name_Hall '-C 2 2'
_cell_length_a 2.716
_cell_length_b 4.659
_cell_length_c 9.119
_cell_angle_alpha 90.00
_cell_angle_beta 90.00
_cell_angle_gamma 90.00
loop_
_atom_site_label
_atom_site_type_symbol
_atom_site_fract_x
_atom_site_fract_y
_atom_site_fract_z
Cu1 Cu 0.000 0.000 0.000
Ir1 Ir 0.000 0.500 0.246
Os1 Os 0.000 0.000 0.500
```

Results
DFT formation energy = 35.3 kJ/mol of atoms

4.
Below is a geometry-optimized TcGeF2 structure, with properties calculated at the PBE level.

Geometry as CIF:
```
data_TcGeF2
_chemical_formula_sum 'Tc4 Ge4 F8'
_space_group_name_H-M_alt 'F m -3 m'
_space_group_IT_number 225
_space_group_name_Hall '-F 4 2 3'
_cell_length_a 6.024
_cell_length_b 6.024
_cell_length_c 6.024
_cell_angle_alpha 90.00
_cell_angle_beta 90.00
_cell_angle_gamma 90.00
loop_
_atom_site_label
_atom_site_type_symbol
_atom_site_fract_x
_atom_site_fract_y
_atom_site_fract_z
Tc1 Tc 0.000 0.000 0.000
Ge1 Ge 0.000 0.000 0.500
F1 F 0.250 0.250 0.250
```

Results
raw formation energy = -1.221 eV per formula unit

5.
Below is a geometry-optimized CsSCl3 structure, with properties calculated at the PBE level.

Geometry as CIF:
```
data_CsSCl3
_chemical_formula_sum 'Cs2 S2 Cl6'
_space_group_name_H-M_alt 'P 1'
_space_group_IT_number 1
_cell_length_a 7.431
_cell_length_b 7.856
_cell_length_c 7.888
_cell_angle_alpha 119.30
_cell_angle_beta 117.52
_cell_angle_gamma 90.97
loop_
_space_group_symop_operation_xyz
'x,y,z'
loop_
_atom_site_label
_atom_site_type_symbol
_atom_site_fract_x
_atom_site_fract_y
_atom_site_fract_z
Cs1 Cs 0.000 0.000 0.000
Cs2 Cs 0.490 0.489 0.979
S1 S 0.235 0.756 0.489
S2 S 0.521 0.870 0.489
Cl1 Cl 0.026 0.550 0.080
Cl2 Cl 0.070 0.997 0.490
Cl3 Cl 0.435 0.957 0.898
Cl4 Cl 0.447 0.534 0.488
Cl5 Cl 0.518 0.134 0.490
Cl6 Cl 0.959 0.554 0.489
```

Results
raw formation energy = -4.174 eV per formula unit

6.
Below is a geometry-optimized NaBPb structure, with properties calculated at the PBE level.

Geometry as CIF:
```
data_NaBPb
_chemical_formula_sum 'Na6 B6 Pb6'
_space_group_name_H-M_alt 'I m m 2'
_space_group_IT_number 44
_cell_length_a 4.140
_cell_length_b 14.633
_cell_length_c 6.257
_cell_angle_alpha 90.00
_cell_angle_beta 90.00
_cell_angle_gamma 90.00
loop_
_space_group_symop_operation_xyz
'x,y,z'
'-x,-y,z'
'-x,y,z'
'x,-y,z'
'x+1/2,y+1/2,z+1/2'
'-x+1/2,-y+1/2,z+1/2'
'-x+1/2,y+1/2,z+1/2'
'x+1/2,-y+1/2,z+1/2'
loop_
_atom_site_label
_atom_site_type_symbol
_atom_site_fract_x
_atom_site_fract_y
_atom_site_fract_z
Na1 Na 0.000 0.000 0.000
Na2 Na 0.000 0.386 0.733
B1 B 0.000 0.000 0.438
B2 B 0.000 0.315 0.290
Pb1 Pb 0.000 0.193 0.576
Pb2 Pb 0.000 0.500 0.165
```

Results
DFT formation energy = 77.1 kJ/mol of atoms

7.
Below is a geometry-optimized KNiMo2 structure, with properties calculated at the PBE level.

Geometry as CIF:
```
data_KNiMo2
_chemical_formula_sum 'K3 Ni3 Mo6'
_space_group_name_H-M_alt 'R -3 m'
_space_group_IT_number 166
_space_group_name_Hall '-R 3 2"'
_cell_length_a 2.7687
_cell_length_b 2.7687
_cell_length_c 31.8728
_cell_angle_alpha 90.00
_cell_angle_beta 90.00
_cell_angle_gamma 120.00
loop_
_atom_site_label
_atom_site_type_symbol
_atom_site_fract_x
_atom_site_fract_y
_atom_site_fract_z
K1 K 0.0000 0.0000 0.0000
Ni1 Ni 0.0000 0.0000 0.5000
Mo1 Mo 0.0000 0.0000 0.2332
```

Results
DFT formation energy = 86.4 kJ/mol of atoms

8.
Below is a geometry-optimized LiMgBH2 structure, with properties calculated at the PBE level.

Geometry as CIF:
```
data_LiMgBH2
_chemical_formula_sum 'Li1 Mg1 B1 H2'
_space_group_name_H-M_alt 'P 4/m m m'
_space_group_IT_number 123
_space_group_name_Hall '-P 4 2'
_cell_length_a 3.451
_cell_length_b 3.451
_cell_length_c 4.235
_cell_angle_alpha 90.00
_cell_angle_beta 90.00
_cell_angle_gamma 90.00
loop_
_atom_site_label
_atom_site_type_symbol
_atom_site_fract_x
_atom_site_fract_y
_atom_site_fract_z
Li1 Li 0.000 0.000 0.000
Mg1 Mg 0.500 0.500 0.500
B1 B 0.000 0.000 0.500
H1 H 0.000 0.500 0.000
```

Results
total energy = -2.630 eV/atom